# CaAlMo3 (PBE, optimized geometry)
# Energy relative to the lowest polymorph listed for this composition ... 1134 meV per atom
# E_tot ... -0.380 Ry per atom
# Energy of formation ... 2.475 eV per atom
data_CaAlMo3
_cell_length_a 4.625
_cell_length_b 4.625
_cell_length_c 4.625
_cell_angle_alpha 90.00
_cell_angle_beta 90.00
_cell_angle_gamma 90.00
_symmetry_space_group_name_H-M 'P m -3 m'
_symmetry_Int_Tables_number 221
_symmetry_space_group_name_Hall '-P 4 2 3'
loop_
_atom_site_label
_atom_site_type_symbol
_atom_site_fract_x
_atom_site_fract_y
_atom_site_fract_z
Ca1 Ca 0.000 0.000 0.000
Al1 Al 0.500 0.500 0.500
Mo1 Mo 0.000 0.000 0.500

---

# Fe6Co5Pd (PBE, optimized geometry)
# E_tot ... -0.561 Ry per atom
# Energy of formation ... -0.008 eV per atom
data_Fe6Co5Pd
_cell_length_a 4.022
_cell_length_b 5.915
_cell_length_c 12.074
_cell_angle_alpha 90.00
_cell_angle_beta 90.00
_cell_angle_gamma 90.00
_symmetry_space_group_name_H-M 'I m m m'
_symmetry_Int_Tables_number 71
_symmetry_space_group_name_Hall '-I 2 2'
loop_
_atom_site_label
_atom_site_type_symbol
_atom_site_fract_x
_atom_site_fract_y
_atom_site_fract_z
Fe1 Fe 0.000 0.231 0.000
Fe2 Fe 0.000 0.258 0.329
Co1 Co 0.000 0.000 0.169
Co2 Co 0.000 0.500 0.162
Co3 Co 0.000 0.500 0.500
Pd1 Pd 0.000 0.000 0.500

---

# RbCaZrNb2 (PBE, optimized geometry)
# E_tot ... -0.301 Ry per atom
# Energy of formation ... 2.232 eV per atom
data_RbCaZrNb2
_cell_length_a 5.127
_cell_length_b 5.127
_cell_length_c 5.563
_cell_angle_alpha 90.00
_cell_angle_beta 90.00
_cell_angle_gamma 90.00
_symmetry_space_group_name_H-M 'P 4/m m m'
_symmetry_Int_Tables_number 123
_symmetry_space_group_name_Hall '-P 4 2'
loop_
_atom_site_label
_atom_site_type_symbol
_atom_site_fract_x
_atom_site_fract_y
_atom_site_fract_z
Rb1 Rb 0.000 0.000 0.000
Ca1 Ca 0.500 0.500 0.500
Zr1 Zr 0.500 0.500 0.000
Nb1 Nb 0.000 0.500 0.500

---

# ReIr3 (PBE, optimized geometry)
# Energy relative to the lowest polymorph listed for this composition ... 58 meV per atom
# E_tot ... -0.724 Ry per atom
# Energy of formation ... -0.094 eV per atom
data_ReIr3
_cell_length_a 9.120
_cell_length_b 2.732
_cell_length_c 4.751
_cell_angle_alpha 90.00
_cell_angle_beta 99.83
_cell_angle_gamma 90.00
_symmetry_space_group_name_H-M 'C 1 2/m 1'
_symmetry_Int_Tables_number 12
_symmetry_space_group_name_Hall '-C 2y'
loop_
_atom_site_label
_atom_site_type_symbol
_atom_site_fract_x
_atom_site_fract_y
_atom_site_fract_z
Re1 Re 0.000 0.000 0.000
Ir1 Ir 0.000 0.500 0.500
Ir2 Ir 0.248 0.500 0.247